(1)
PBE Ti3Si4, optimized geometry; final energy = -7.0698 eV per atom
1.0
4.650 -1.750 0.000
4.650 1.750 0.000
-0.003 0.000 12.738
Ti Si
6 8
direct
0.056 0.056 0.250 Ti
0.332 0.332 0.403 Ti
0.333 0.333 0.097 Ti
0.667 0.667 0.903 Ti
0.668 0.668 0.597 Ti
0.944 0.944 0.750 Ti
0.000 0.000 0.000 Si
0.000 0.000 0.500 Si
0.218 0.218 0.750 Si
0.380 0.380 0.893 Si
0.381 0.381 0.607 Si
0.619 0.619 0.393 Si
0.620 0.620 0.107 Si
0.782 0.782 0.250 Si


(2)
PBE LiCeHoAg, optimized geometry; ΔH_f (0 K) = 0.15 eV/f.u.; final energy = -3.7818 eV per atom
1.0
7.375 0.000 0.000
0.000 7.375 0.000
0.000 0.000 7.375
Li Ce Ho Ag
4 4 4 4
direct
0.000 0.000 0.000 Li
0.000 0.500 0.500 Li
0.500 0.000 0.500 Li
0.500 0.500 0.000 Li
0.250 0.250 0.750 Ce
0.250 0.750 0.250 Ce
0.750 0.250 0.250 Ce
0.750 0.750 0.750 Ce
0.250 0.250 0.250 Ho
0.250 0.750 0.750 Ho
0.750 0.250 0.750 Ho
0.750 0.750 0.250 Ho
0.000 0.000 0.500 Ag
0.000 0.500 0.000 Ag
0.500 0.000 0.000 Ag
0.500 0.500 0.500 Ag


(3)
PBE CsSb2Rh, optimized geometry; final energy = -3.6237 eV per atom; energy relative to the lowest polymorph listed for this composition = 888 meV per atom
1.0
7.496 0.000 0.000
0.000 7.496 0.000
0.000 0.000 7.496
Cs Sb Rh
4 8 4
direct
0.000 0.000 0.000 Cs
0.000 0.500 0.500 Cs
0.500 0.000 0.500 Cs
0.500 0.500 0.000 Cs
0.250 0.250 0.250 Sb
0.250 0.250 0.750 Sb
0.250 0.750 0.250 Sb
0.250 0.750 0.750 Sb
0.750 0.250 0.250 Sb
0.750 0.250 0.750 Sb
0.750 0.750 0.250 Sb
0.750 0.750 0.750 Sb
0.000 0.000 0.500 Rh
0.000 0.500 0.000 Rh
0.500 0.000 0.000 Rh
0.500 0.500 0.500 Rh


(4)
PBE Tl2InP, optimized geometry; ΔH_f (0 K) = 1.19 eV/f.u.; final energy = -2.9227 eV per atom; energy relative to the lowest polymorph listed for this composition = 193 meV per atom
1.0
6.313 0.000 0.000
0.000 10.322 0.000
0.000 0.000 3.222
Tl In P
4 2 2
direct
0.250 0.250 0.000 Tl
0.250 0.750 0.000 Tl
0.750 0.250 0.000 Tl
0.750 0.750 0.000 Tl
0.000 0.000 0.500 In
0.500 0.500 0.500 In
0.000 0.500 0.500 P
0.500 0.000 0.500 P


(5)
PBE CaPmMgCd, optimized geometry; ΔH_f (0 K) = -0.90 eV/f.u.; final energy = -2.5394 eV per atom
1.0
7.722 0.000 0.000
0.000 7.722 0.000
0.000 0.000 7.722
Ca Pm Mg Cd
4 4 4 4
direct
0.000 0.000 0.000 Ca
0.000 0.500 0.500 Ca
0.500 0.000 0.500 Ca
0.500 0.500 0.000 Ca
0.000 0.000 0.500 Pm
0.000 0.500 0.000 Pm
0.500 0.000 0.000 Pm
0.500 0.500 0.500 Pm
0.250 0.250 0.250 Mg
0.250 0.750 0.750 Mg
0.750 0.250 0.750 Mg
0.750 0.750 0.250 Mg
0.250 0.250 0.750 Cd
0.250 0.750 0.250 Cd
0.750 0.250 0.250 Cd
0.750 0.750 0.750 Cd


(6)
PBE In9NiP2, optimized geometry; ΔH_f (0 K) = 3.57 eV/f.u.; final energy = -3.1401 eV per atom
1.0
10.288 0.000 0.000
-5.144 8.909 0.000
0.000 0.000 3.093
In Ni P
9 1 2
direct
0.000 0.500 0.000 In
0.167 0.334 0.500 In
0.167 0.833 0.500 In
0.334 0.167 0.500 In
0.500 0.000 0.000 In
0.500 0.500 0.000 In
0.666 0.833 0.500 In
0.833 0.167 0.500 In
0.833 0.666 0.500 In
0.000 0.000 0.000 Ni
0.333 0.667 0.000 P
0.667 0.333 0.000 P


(7)
PBE BaTc3Bi, optimized geometry; ΔH_f (0 K) = 8.37 eV/f.u.; final energy = -5.7066 eV per atom; energy relative to the lowest polymorph listed for this composition = 0 meV per atom
1.0
5.194 0.000 0.000
0.000 5.194 0.000
0.000 0.000 5.194
Ba Tc Bi
1 3 1
direct
0.000 0.000 0.000 Ba
0.000 0.500 0.500 Tc
0.500 0.000 0.500 Tc
0.500 0.500 0.000 Tc
0.500 0.500 0.500 Bi